VASP calculation (PBE-GGA) on crystalline KGaB2P at its relaxed geometry.

Mass density ... 2.78 g cm⁻³
E ... -0.242 Ry per atom

```
KGaB2P
1.0
4.3851 0.0000 0.0000
0.0000 5.0108 0.0000
0.0000 0.0000 4.3851
P K B Ga
1 1 2 1
Cartesian
0.0000 2.5054 0.0000
2.1926 2.5054 2.1926
0.0000 0.0000 2.1926
2.1926 0.0000 0.0000
0.0000 0.0000 0.0000
```

---

VASP calculation (PBE-GGA) on crystalline PaSb2Pd at its relaxed geometry.

Mass density ... 10.59 g cm⁻³
ΔE_f (raw) ... -0.53 eV/atom
E ... -0.460 Ry per atom

```
PaSb2Pd
1.0
4.0736 0.0000 0.0000
0.0000 4.7284 0.0000
0.0000 0.0000 4.7284
Sb Pa Pd
2 1 1
Cartesian
0.0000 0.0000 2.3642
0.0000 2.3642 0.0000
2.0368 0.0000 0.0000
2.0368 2.3642 2.3642
```

---

VASP calculation (PBE-GGA) on crystalline TaSbPdI2 at its relaxed geometry.

Offset from the most stable computed form ... 358 meV per atom
Mass density ... 7.40 g cm⁻³
ΔE_f (raw) ... 1.09 eV/atom
E ... -0.277 Ry per atom

```
TaSbPdI2
1.0
5.2882 0.0000 0.0000
0.0000 5.2882 0.0000
0.0000 0.0000 5.3212
I Sb Pd Ta
2 1 1 1
Cartesian
0.0000 2.6441 0.0000
2.6441 0.0000 0.0000
0.0000 0.0000 2.6606
0.0000 0.0000 0.0000
2.6441 2.6441 2.6606
```

---

VASP calculation (PBE-GGA) on crystalline ScCdB at its relaxed geometry.

Offset from the most stable computed form ... 281 meV per atom
Mass density ... 5.77 g cm⁻³
E ... -0.357 Ry per atom

```
ScCdB
1.0
3.5277 0.0034 0.0012
1.7649 4.6893 -0.0116
1.7599 0.3331 5.8534
Sc B Cd
2 2 2
Cartesian
0.6904 0.4531 0.7938
2.4531 2.3541 2.5895
4.2199 4.3951 2.1998
4.2161 3.1046 1.1731
4.2167 0.2814 3.9685
4.2147 2.8623 5.2692
```

---

VASP calculation (PBE-GGA) on crystalline Hg5GeBr2 at its relaxed geometry.

Mass density ... 7.33 g cm⁻³
ΔE_f (raw) ... -0.14 eV/atom
E ... -0.098 Ry per atom

```
Hg5GeBr2
1.0
7.0542 0.0425 0.0416
0.1318 7.7017 -0.0126
-3.5812 -3.8887 5.1373
Hg Ge Br
5 1 2
Cartesian
4.2369 1.4463 0.2748
-2.1913 -1.9502 5.0254
6.6695 5.9910 0.6603
3.0849 6.0199 0.4860
2.8447 3.2531 2.0728
2.9850 4.2693 4.4625
-0.5710 3.7852 2.0942
4.5415 0.3589 3.3200
```

---

VASP calculation (PBE-GGA) on crystalline CrTeW2 at its relaxed geometry.

Mass density ... 13.10 g cm⁻³
ΔE_f (raw) ... 0.80 eV/atom
E ... -0.652 Ry per atom

```
CrTeW2
1.0
-1.7420 1.7722 -1.3862
-1.0767 -0.8355 2.4979
4.0378 7.2193 4.1553
Cr Te W
1 1 2
Cartesian
-0.3999 2.2732 1.5946
1.6190 5.8828 3.6723
0.1536 0.2746 0.1580
1.8654 3.3351 1.9196
```

---

VASP calculation (PBE-GGA) on crystalline InP2PdO at its relaxed geometry.

Offset from the most stable computed form ... 0 meV per atom
Mass density ... 5.37 g cm⁻³
ΔE_f (raw) ... 0.37 eV/atom
E ... -0.322 Ry per atom

```
InP2PdO
1.0
4.8679 0.0000 0.0000
0.0000 4.8679 0.0000
0.0000 0.0000 3.9069
P O Pd In
2 1 1 1
Cartesian
0.0000 2.4339 0.0000
2.4339 0.0000 0.0000
0.0000 0.0000 1.9535
0.0000 0.0000 0.0000
2.4339 2.4339 1.9535
```

---

VASP calculation (PBE-GGA) on crystalline AlCu2Re at its relaxed geometry.

Mass density ... 10.63 g cm⁻³
E ... -0.442 Ry per atom

```
AlCu2Re
1.0
-3.5150 -3.4936 0.9946
1.3136 -3.8798 2.9616
-0.6297 4.9889 -0.5140
Re Al Cu
1 1 2
Cartesian
-1.1023 -3.6922 1.9810
-0.1806 -1.1960 2.1630
-2.1995 -7.3671 3.9528
-2.6506 -1.1894 1.2796
```